Below is an optimized crystal structure of MnIn2Tc, with properties calculated at the PBE-GGA level.

Output
Formation enthalpy at 0 K ... 1.15 eV per formula unit
Total DFT energy (no corrections) ... -5.964 eV per atom
Total moment ... 4.52 μB/f.u.
Relative energy among the computed polymorphs ... 0.093 eV/atom
Crystal system ... orthorhombic

extended XYZ file:
```
4
Lattice="-2.443 -6.198 -0.907 1.640 2.762 -3.645 2.011 -2.222 -0.782" Properties=species:S:1:pos:R:3 pbc="T T T"
In 0.000 0.000 0.000
In -0.216 -4.210 -0.845
Tc -0.401 -1.718 -2.276
Mn 1.825 0.270 -2.213
```

---

Below is an optimized crystal structure of LiAg2Os, with properties calculated at the PBE-GGA level.

Output
Formation enthalpy at 0 K ... 2.55 eV per formula unit
Total DFT energy (no corrections) ... -4.073 eV per atom
Total moment ... 1.71 μB/f.u.
Relative energy among the computed polymorphs ... 0.359 eV/atom
Crystal system ... tetragonal

extended XYZ file:
```
4
Lattice="-3.215 2.195 2.588 0.592 -2.170 4.098 3.346 2.035 -2.553" Properties=species:S:1:pos:R:3 pbc="T T T"
Li 1.313 -0.061 2.444
Os -0.590 2.121 1.689
Ag -1.311 0.013 3.343
Ag 0.000 0.000 0.000
```

---

Below is an optimized crystal structure of Pr5NdY8, with properties calculated at the PBE-GGA level.

Output
Formation enthalpy at 0 K ... 3.13 eV per formula unit
Total DFT energy (no corrections) ... -5.517 eV per atom
Total moment ... 0.58 μB/f.u.
Crystal system ... tetragonal

extended XYZ file:
```
14
Lattice="8.574 -0.101 0.174 -2.996 8.034 -0.174 -2.582 -4.112 7.069" Properties=species:S:1:pos:R:3 pbc="T T T"
Pr 3.117 2.432 5.031
Pr -0.310 -3.167 6.870
Pr 2.996 -2.107 3.621
Pr 4.230 6.338 1.317
Pr -1.045 2.038 0.920
Y -2.805 4.059 3.228
Y 2.186 -0.680 6.574
Y 1.998 3.665 1.932
Y 5.921 -2.069 4.831
Y 0.999 0.284 3.056
Y 4.612 0.598 2.405
Y 0.026 3.815 5.805
Y -0.954 5.612 0.446
Nd -1.291 0.908 5.259
```

---

Below is an optimized crystal structure of Ho2GeS4, with properties calculated at the PBE-GGA level.

Output
Raw formation energy ... -1.2267 eV/atom
Total DFT energy (no corrections) ... -5.553 eV per atom
Total moment ... 0.00 μB/f.u.
Crystal system ... tetragonal

extended XYZ file:
```
7
Lattice="6.082 0.000 0.000 0.000 6.082 0.000 -3.041 -3.041 5.998" Properties=species:S:1:pos:R:3 pbc="T T T"
S 4.528 1.554 1.532
S -1.487 -1.487 4.467
S 1.554 4.528 1.532
S 1.487 1.487 4.467
Ge 3.041 3.041 0.000
Ho 0.000 3.041 2.999
Ho 3.041 0.000 2.999
```

---

Below is an optimized crystal structure of Rb2CrI6Br, with properties calculated at the PBE-GGA level.

Output
Raw formation energy ... -0.6254 eV/atom
Total DFT energy (no corrections) ... -2.879 eV per atom
Total moment ... 3.69 μB/f.u.
Crystal system ... tetragonal

extended XYZ file:
```
10
Lattice="8.283 0.000 0.000 0.000 8.283 0.000 4.141 4.141 6.393" Properties=species:S:1:pos:R:3 pbc="T T T"
Cr 4.141 4.141 0.000
Br 0.000 0.000 0.000
I 8.283 8.283 3.698
I 4.141 4.141 2.695
I 6.108 6.108 0.000
I 2.175 6.108 0.000
I 6.108 2.175 0.000
I 2.175 2.175 0.000
Rb 4.141 8.283 3.197
Rb 8.283 4.141 3.197
```

---

Below is an optimized crystal structure of KSeBr6, with properties calculated at the PBE-GGA level.

Output
Raw formation energy ... -0.4213 eV/atom
Total DFT energy (no corrections) ... -2.249 eV per atom
Total moment ... 0.15 μB/f.u.
Relative energy among the computed polymorphs ... 0.000 eV/atom
Crystal system ... triclinic

extended XYZ file:
```
8
Lattice="6.749 -0.327 -1.738 -1.808 5.967 -1.317 0.376 -0.314 6.933" Properties=species:S:1:pos:R:3 pbc="T T T"
Br 4.929 4.327 -0.794
Br 1.488 1.853 1.078
Br 3.829 3.473 2.800
Br 0.388 0.998 4.671
Br 0.715 4.335 4.920
Br 4.602 0.990 -1.042
K 3.563 -0.321 2.597
Se 0.000 0.000 0.000
```

---

Below is an optimized crystal structure of TbZn2Cu2, with properties calculated at the PBE-GGA level.

Output
Formation enthalpy at 0 K ... -1.17 eV per formula unit
Total DFT energy (no corrections) ... -3.308 eV per atom
Total moment ... 0.00 μB/f.u.
Relative energy among the computed polymorphs ... 0.016 eV/atom
Crystal system ... monoclinic

extended XYZ file:
```
10
Lattice="4.055 0.000 0.000 0.000 4.051 -0.239 0.000 0.544 10.485" Properties=species:S:1:pos:R:3 pbc="T T T"
Zn 3.042 1.056 1.326
Zn 1.014 3.539 8.920
Zn 3.042 3.303 5.063
Zn 1.014 1.291 5.183
Cu 1.014 3.406 6.520
Cu 1.014 1.594 10.423
Cu 3.042 1.189 3.726
Cu 3.042 3.000 -0.177
Tb 1.014 3.157 2.422
Tb 3.042 1.438 7.824
```

---

Below is an optimized crystal structure of Mn2IrSeI, with properties calculated at the PBE-GGA level.

Output
Raw formation energy ... 0.4020 eV/atom
Total DFT energy (no corrections) ... -6.045 eV per atom
Total moment ... 9.84 μB/f.u.
Crystal system ... tetragonal

extended XYZ file:
```
5
Lattice="5.260 0.000 0.000 0.000 4.549 0.000 0.000 0.000 5.260" Properties=species:S:1:pos:R:3 pbc="T T T"
Se 0.000 2.274 0.000
Mn 2.630 0.000 0.000
Mn 0.000 0.000 2.630
Ir 0.000 0.000 0.000
I 2.630 2.274 2.630
```

---

Below is an optimized crystal structure of Rb2MgAgI6, with properties calculated at the PBE-GGA level.

Output
Raw formation energy ... -0.8695 eV/atom
Total DFT energy (no corrections) ... -2.438 eV per atom
Total moment ... 0.00 μB/f.u.
Crystal system ... tetragonal

extended XYZ file:
```
10
Lattice="-8.008 -1.936 -0.117 0.276 -1.627 8.073 -5.297 4.064 5.205" Properties=species:S:1:pos:R:3 pbc="T T T"
I -8.504 -0.413 8.617
I -1.888 -0.870 1.942
I -5.844 -2.693 6.014
I -1.747 -1.703 6.073
I -5.985 -1.861 1.883
I -4.526 0.914 4.544
Rb -8.586 0.173 4.533
Rb -4.444 0.328 8.628
Mg -3.866 -1.782 3.978
Ag 0.000 0.000 0.000
```

---

Below is an optimized crystal structure of CsTaPtAu2, with properties calculated at the PBE-GGA level.

Output
Formation enthalpy at 0 K ... 11.97 eV per formula unit
Total DFT energy (no corrections) ... -2.666 eV per atom
Total moment ... 2.89 μB/f.u.
Crystal system ... tetragonal

extended XYZ file:
```
5
Lattice="-3.628 4.133 -0.905 -4.009 -2.977 2.474 1.245 2.083 4.524" Properties=species:S:1:pos:R:3 pbc="T T T"
Au -2.005 -1.489 1.237
Au -1.814 2.067 -0.452
Pt 0.623 1.042 2.262
Ta -3.196 1.619 3.047
Cs 0.000 0.000 0.000
```

---

Below is an optimized crystal structure of BaMn, with properties calculated at the PBE-GGA level.

Output
Formation enthalpy at 0 K ... 1.21 eV per formula unit
Total DFT energy (no corrections) ... -4.942 eV per atom
Total moment ... 3.62 μB/f.u.
Crystal system ... trigonal

extended XYZ file:
```
4
Lattice="7.909 1.531 1.057 5.627 5.765 1.057 5.627 3.033 5.016" Properties=species:S:1:pos:R:3 pbc="T T T"
Ba 11.308 6.095 4.207
Ba 7.855 4.234 2.922
Mn 3.199 1.724 1.190
Mn 15.963 8.605 5.939
```

---

Below is an optimized crystal structure of PuMn2CN, with properties calculated at the PBE-GGA level.

Output
Raw formation energy ... -0.3780 eV/atom
Total DFT energy (no corrections) ... -10.422 eV per atom
Total moment ... 3.38 μB/f.u.
Crystal system ... orthorhombic

extended XYZ file:
```
10
Lattice="3.315 0.000 0.000 -1.657 5.063 0.000 0.000 0.000 6.590" Properties=species:S:1:pos:R:3 pbc="T T T"
N 0.000 0.000 0.000
N 0.000 0.000 3.295
C 0.000 2.673 1.648
C 1.657 2.390 4.943
Pu 1.657 0.451 1.648
Pu 0.000 4.612 4.943
Mn 1.657 3.214 0.439
Mn 1.657 3.214 2.856
Mn 0.000 1.849 6.151
Mn 0.000 1.849 3.734
```

---

Number 8 is which compound?
Mn2IrSeI